Entry from Alexandria: a relaxed CsNiF2 crystal (PBE with a Hubbard U).

The value obtained for the size of the total moment is 1.0 μB/f.u. The polymorph energy (0 for the lowest one) comes out at 3.255 eV per formula unit. The electronic total energy comes out at -43.0 eV for the cell shown.

It has space group Fm-3m (No. 225), with a = 6.597 Å, b = 6.597 Å, c = 6.597 Å, α = 90.00°, β = 90.00° and γ = 90.00°. Symmetry generates all atoms from Cs at (0.000, 0.000, 0.000), Ni at (0.000, 0.000, 0.500) and F at (0.250, 0.250, 0.250).